# 1
# PmPuSiNi (PBE, optimized geometry)
# - formation energy from raw total energies (meV/atom) = -217
# - uncorrected energy (eV/atom) = -7.79
# - volume (A^3/atom) = 21.52
# - total moment (μB/f.u.) = 5.246
data_PmPuSiNi
_chemical_formula_sum 'Pm4 Pu4 Si4 Ni4'
_cell_length_a 7.009
_cell_length_b 7.009
_cell_length_c 7.009
_cell_angle_alpha 90.00
_cell_angle_beta 90.00
_cell_angle_gamma 90.00
_space_group_name_H-M_alt 'F -4 3 m'
_space_group_IT_number 216
_space_group_name_Hall 'F -4 2 3'
loop_
_atom_site_label
_atom_site_fract_x
_atom_site_fract_y
_atom_site_fract_z
_atom_site_occupancy
Pm1 0.000 0.000 0.000 1
Pu1 0.000 0.000 0.500 1
Si1 0.250 0.250 0.250 1
Ni1 0.250 0.250 0.750 1

***

# 2
# PmPuNiSn (PBE, optimized geometry)
# - uncorrected energy (eV/atom) = -7.39
# - ΔH_f (0 K) (eV/atom) = -0.18
# - volume (A^3/atom) = 24.74
# - total moment (μB/f.u.) = 5.284
data_PmPuNiSn
_chemical_formula_sum 'Pm4 Pu4 Ni4 Sn4'
_cell_length_a 7.342
_cell_length_b 7.342
_cell_length_c 7.342
_cell_angle_alpha 90.00
_cell_angle_beta 90.00
_cell_angle_gamma 90.00
_space_group_name_H-M_alt 'F -4 3 m'
_space_group_IT_number 216
_space_group_name_Hall 'F -4 2 3'
loop_
_atom_site_label
_atom_site_fract_x
_atom_site_fract_y
_atom_site_fract_z
_atom_site_occupancy
Pm1 0.000 0.000 0.000 1
Pu1 0.000 0.000 0.500 1
Ni1 0.250 0.250 0.250 1
Sn1 0.250 0.250 0.750 1

***

# 3
# PmPuTcNi (PBE, optimized geometry)
# - uncorrected energy (eV/atom) = -8.74
# - ΔH_f (0 K) (eV/atom) = 0.07
# - volume (A^3/atom) = 20.04
# - total moment (μB/f.u.) = 4.012
data_PmPuTcNi
_chemical_formula_sum 'Pm4 Pu4 Tc4 Ni4'
_cell_length_a 6.844
_cell_length_b 6.844
_cell_length_c 6.844
_cell_angle_alpha 90.00
_cell_angle_beta 90.00
_cell_angle_gamma 90.00
_space_group_name_H-M_alt 'F -4 3 m'
_space_group_IT_number 216
_space_group_name_Hall 'F -4 2 3'
loop_
_atom_site_label
_atom_site_fract_x
_atom_site_fract_y
_atom_site_fract_z
_atom_site_occupancy
Pm1 0.000 0.000 0.000 1
Pu1 0.000 0.000 0.500 1
Tc1 0.250 0.250 0.750 1
Ni1 0.250 0.250 0.250 1

***

# 4
# PmPuZnNi (PBE, optimized geometry)
# - uncorrected energy (eV/atom) = -6.62
# - ΔH_f (0 K) (eV/atom) = -0.09
# - volume (A^3/atom) = 21.90
# - total moment (μB/f.u.) = 5.550
data_PmPuZnNi
_chemical_formula_sum 'Pm4 Pu4 Zn4 Ni4'
_cell_length_a 7.050
_cell_length_b 7.050
_cell_length_c 7.050
_cell_angle_alpha 90.00
_cell_angle_beta 90.00
_cell_angle_gamma 90.00
_space_group_name_H-M_alt 'F -4 3 m'
_space_group_IT_number 216
_space_group_name_Hall 'F -4 2 3'
loop_
_atom_site_label
_atom_site_fract_x
_atom_site_fract_y
_atom_site_fract_z
_atom_site_occupancy
Pm1 0.000 0.000 0.000 1
Pu1 0.000 0.000 0.500 1
Zn1 0.250 0.250 0.250 1
Ni1 0.250 0.250 0.750 1

***

# 5
# PmNi2Rh2 (PBE, optimized geometry)
# - uncorrected energy (eV/atom) = -6.41
# - ΔH_f (0 K) (eV/atom) = -0.20
# - volume (A^3/atom) = 16.94
# - total moment (μB/f.u.) = 1.877
data_PmNi2Rh2
_chemical_formula_sum 'Pm4 Ni8 Rh8'
_cell_length_a 4.017
_cell_length_b 4.017
_cell_length_c 21.002
_cell_angle_alpha 90.00
_cell_angle_beta 90.00
_cell_angle_gamma 90.00
_space_group_name_H-M_alt 'I 4/m m m'
_space_group_IT_number 139
_space_group_name_Hall '-I 4 2'
loop_
_atom_site_label
_atom_site_fract_x
_atom_site_fract_y
_atom_site_fract_z
_atom_site_occupancy
Pm1 0.000 0.000 0.124 1
Ni1 0.000 0.000 0.320 1
Ni2 0.000 0.500 0.000 1
Rh1 0.000 0.000 0.431 1
Rh2 0.000 0.500 0.250 1

***

# 6
# PmNiRh2 (PBE, optimized geometry)
# - uncorrected energy (eV/atom) = -6.61
# - ΔH_f (0 K) (eV/atom) = -0.30
# - volume (A^3/atom) = 18.94
# - total moment (μB/f.u.) = 0.000
data_PmNiRh2
_chemical_formula_sum 'Pm3 Ni3 Rh6'
_cell_length_a 4.2896
_cell_length_b 4.2896
_cell_length_c 14.2664
_cell_angle_alpha 90.00
_cell_angle_beta 90.00
_cell_angle_gamma 120.00
_space_group_name_H-M_alt 'R -3 m'
_space_group_IT_number 166
_space_group_name_Hall '-R 3 2"'
loop_
_atom_site_label
_atom_site_fract_x
_atom_site_fract_y
_atom_site_fract_z
_atom_site_occupancy
Pm1 0.0000 0.0000 0.0000 1
Ni1 0.0000 0.0000 0.5000 1
Rh1 0.0000 0.0000 0.1999 1

***

# 7
# PmNiRh (PBE, optimized geometry)
# - uncorrected energy (eV/atom) = -6.45
# - ΔH_f (0 K) (eV/atom) = -0.49
# - volume (A^3/atom) = 19.55
# - energy relative to the lowest polymorph listed for this composition (meV per atom) = 46.5
# - total moment (μB/f.u.) = 0.000
data_PmNiRh
_chemical_formula_sum 'Pm1 Ni1 Rh1'
_cell_length_a 4.1555
_cell_length_b 4.1555
_cell_length_c 3.9219
_cell_angle_alpha 90.00
_cell_angle_beta 90.00
_cell_angle_gamma 120.00
_space_group_name_H-M_alt 'P -6 m 2'
_space_group_IT_number 187
_space_group_name_Hall 'P -6 2'
loop_
_atom_site_label
_atom_site_fract_x
_atom_site_fract_y
_atom_site_fract_z
_atom_site_occupancy
Pm1 0.0000 0.0000 0.0000 1
Ni1 0.3333 0.6667 0.5000 1
Rh1 0.6667 0.3333 0.5000 1

***

# 8
# Pm3NiRh2 (PBE, optimized geometry)
# - uncorrected energy (eV/atom) = -6.34
# - ΔH_f (0 K) (eV/atom) = -0.55
# - volume (A^3/atom) = 21.57
# - energy relative to the lowest polymorph listed for this composition (meV per atom) = 44.3
# - total moment (μB/f.u.) = 0.000
data_Pm3NiRh2
_chemical_formula_sum 'Pm3 Ni1 Rh2'
_cell_length_a 3.528
_cell_length_b 3.528
_cell_length_c 10.395
_cell_angle_alpha 90.00
_cell_angle_beta 90.00
_cell_angle_gamma 90.00
_space_group_name_H-M_alt 'P 4/m m m'
_space_group_IT_number 123
_space_group_name_Hall '-P 4 2'
loop_
_atom_site_label
_atom_site_fract_x
_atom_site_fract_y
_atom_site_fract_z
_atom_site_occupancy
Pm1 0.000 0.000 0.000 1
Pm2 0.000 0.000 0.334 1
Ni1 0.500 0.500 0.500 1
Rh1 0.500 0.500 0.170 1

***

# 9
# Pm3Ni2Rh (PBE, optimized geometry)
# - uncorrected energy (eV/atom) = -5.93
# - ΔH_f (0 K) (eV/atom) = -0.40
# - volume (A^3/atom) = 21.27
# - energy relative to the lowest polymorph listed for this composition (meV per atom) = 8.6
# - total moment (μB/f.u.) = 0.000
data_Pm3Ni2Rh
_chemical_formula_sum 'Pm3 Ni2 Rh1'
_cell_length_a 3.476
_cell_length_b 3.476
_cell_length_c 10.565
_cell_angle_alpha 90.00
_cell_angle_beta 90.00
_cell_angle_gamma 90.00
_space_group_name_H-M_alt 'P 4/m m m'
_space_group_IT_number 123
_space_group_name_Hall '-P 4 2'
loop_
_atom_site_label
_atom_site_fract_x
_atom_site_fract_y
_atom_site_fract_z
_atom_site_occupancy
Pm1 0.000 0.000 0.000 1
Pm2 0.000 0.000 0.333 1
Ni1 0.500 0.500 0.165 1
Rh1 0.500 0.500 0.500 1

***

# 10
# Pm6NiRh (PBE, optimized geometry)
# - uncorrected energy (eV/atom) = -5.39
# - ΔH_f (0 K) (eV/atom) = -0.19
# - volume (A^3/atom) = 31.43
# - total moment (μB/f.u.) = 0.000
data_Pm6NiRh
_chemical_formula_sum 'Pm12 Ni2 Rh2'
_cell_length_a 6.870
_cell_length_b 11.280
_cell_length_c 6.853
_cell_angle_alpha 90.00
_cell_angle_beta 108.77
_cell_angle_gamma 90.00
_space_group_name_H-M_alt 'C 1 2/m 1'
_space_group_IT_number 12
loop_
_space_group_symop_operation_xyz
'x,y,z'
'-x,-y,-z'
'-x,y,-z'
'x,-y,z'
'x+1/2,y+1/2,z'
'-x+1/2,-y+1/2,-z'
'-x+1/2,y+1/2,-z'
'x+1/2,-y+1/2,z'
loop_
_atom_site_label
_atom_site_fract_x
_atom_site_fract_y
_atom_site_fract_z
_atom_site_occupancy
Pm1 0.243 0.172 0.249 1
Pm2 0.248 0.500 0.243 1
Ni1 0.000 0.000 0.000 1
Rh1 0.000 0.500 0.500 1

***

# 11
# PmNiRh (PBE, optimized geometry)
# - uncorrected energy (eV/atom) = -6.17
# - ΔH_f (0 K) (eV/atom) = -0.21
# - volume (A^3/atom) = 18.48
# - energy relative to the lowest polymorph listed for this composition (meV per atom) = 326.1
# - total moment (μB/f.u.) = 0.000
data_PmNiRh
_chemical_formula_sum 'Pm2 Ni2 Rh2'
_cell_length_a 3.426
_cell_length_b 3.426
_cell_length_c 9.450
_cell_angle_alpha 90.00
_cell_angle_beta 90.00
_cell_angle_gamma 90.00
_space_group_name_H-M_alt 'I 4 m m'
_space_group_IT_number 107
_space_group_name_Hall 'I 4 -2'
loop_
_atom_site_label
_atom_site_fract_x
_atom_site_fract_y
_atom_site_fract_z
_atom_site_occupancy
Pm1 0.000 0.000 0.000 1
Ni1 0.000 0.000 0.706 1
Rh1 0.000 0.000 0.298 1

***

# 12
# PmNiRh4 (PBE, optimized geometry)
# - uncorrected energy (eV/atom) = -6.83
# - ΔH_f (0 K) (eV/atom) = -0.17
# - volume (A^3/atom) = 16.52
# - energy relative to the lowest polymorph listed for this composition (meV per atom) = 0.0
# - total moment (μB/f.u.) = 0.000
data_PmNiRh4
_chemical_formula_sum 'Pm2 Ni2 Rh8'
_cell_length_a 7.669
_cell_length_b 3.900
_cell_length_c 6.629
_cell_angle_alpha 90.00
_cell_angle_beta 90.00
_cell_angle_gamma 90.00
_space_group_name_H-M_alt 'P m m a'
_space_group_IT_number 51
loop_
_space_group_symop_operation_xyz
'x,y,z'
'-x,-y,-z'
'-x+1/2,-y,z'
'x+1/2,y,-z'
'x+1/2,-y,-z'
'-x+1/2,y,z'
'-x,y,-z'
'x,-y,z'
loop_
_atom_site_label
_atom_site_fract_x
_atom_site_fract_y
_atom_site_fract_z
_atom_site_occupancy
Pm1 0.250 0.000 0.127 1
Ni1 0.250 0.000 0.726 1
Rh1 0.000 0.000 0.500 1
Rh2 0.050 0.500 0.794 1
Rh3 0.250 0.500 0.460 1